# RbTlSeO6 PBE-GGA relaxed
# * formation energy without anion corrections: -0.574 eV per atom
# * Fermi-level density of states: 0.20 states/eV per atom
# * crystal system: trigonal
# * total energy: -4.637 eV per atom
# * spin magnetization: 2.01 μB/f.u.
# * calculated volume: 163.0 Å³ per cell
data_RbTlSeO6
_space_group_name_H-M_alt 'P 3 1 2'
_space_group_IT_number 149
_cell_length_a 5.4884
_cell_length_b 5.4884
_cell_length_c 6.2494
_cell_angle_alpha 90.00
_cell_angle_beta 90.00
_cell_angle_gamma 120.00
loop_
_space_group_symop_operation_xyz
'x,y,z'
'-y,x-y,z'
'-x+y,-x,z'
'-y,-x,-z'
'-x+y,y,-z'
'x,x-y,-z'
loop_
_atom_site_label
_atom_site_type_symbol
_atom_site_fract_x
_atom_site_fract_y
_atom_site_fract_z
_atom_site_occupancy
Rb1 Rb 0.0000 0.0000 0.0000 1
Tl1 Tl 0.3333 0.6667 0.5000 1
Se1 Se 0.6667 0.3333 0.5000 1
O1 O 0.4103 0.0598 0.6730 1